#one
Entry from the Alexandria database: a PBEsol-optimized structure of CoAg2W (meta-GGA SCAN).

a = 5.1759 Å, b = 8.6867 Å, c = 2.6334 Å
α = 90.00°, β = 90.00°, γ = 90.00°
Space group Cmmm (No. 65)
Unique sites:
Co 0.0000 0.0000 0.0000 x2
Ag 0.2500 0.2500 0.5000 x4
W 0.0000 0.5000 0.0000 x2

Computed properties:
- Density of states at the Fermi level: 7.39 states/eV per cell

***

#two
Entry from the Alexandria database: a PBEsol-optimized structure of CoAg2W (meta-GGA SCAN).

a = 6.1624 Å, b = 6.1624 Å, c = 6.1624 Å
α = 90.00°, β = 90.00°, γ = 90.00°
Space group Fm-3m (No. 225)
Unique sites:
Co 0.0000 0.0000 0.0000 x4
Ag 0.2500 0.2500 0.2500 x8
W 0.0000 0.0000 0.5000 x4

Computed properties:
- Density of states at the Fermi level: 11.86 states/eV per cell

***

Which one is most stable, and which one is least stable? #one is the most stable of them, while #two is the least stable.

***

#one
Entry from the Alexandria database: a PBEsol-optimized structure of KRu2Pt (meta-GGA SCAN).

a = 3.8680 Å, b = 3.8680 Å, c = 4.3746 Å
α = 90.00°, β = 90.00°, γ = 90.00°
Space group P4/mmm (No. 123)
Unique sites:
K 0.0000 0.0000 0.0000 x1
Ru 0.0000 0.5000 0.5000 x2
Pt 0.5000 0.5000 0.0000 x1

Computed properties:
- Density of states at the Fermi level: 3.82 states/eV per cell

***

#two
Entry from the Alexandria database: a PBEsol-optimized structure of KRu2Pt (meta-GGA SCAN).

a = 3.9898 Å, b = 3.9898 Å, c = 8.0701 Å
α = 90.00°, β = 90.00°, γ = 90.00°
Space group I4/mmm (No. 139)
Unique sites:
K 0.0000 0.0000 0.0000 x2
Ru 0.0000 0.5000 0.2500 x4
Pt 0.0000 0.0000 0.5000 x2

Computed properties:
- Density of states at the Fermi level: 10.58 states/eV per cell

***

Which one is most stable, and which one is least stable? #one is the most stable of them, while #two is the least stable.

***

#one
Entry from the Alexandria database: a PBEsol-optimized structure of YSc2Tl (meta-GGA SCAN).

a = 3.4383 Å, b = 3.4383 Å, c = 8.4042 Å
α = 90.00°, β = 90.00°, γ = 90.00°
Space group P4mm (No. 99)
Unique sites:
Y 0.0000 0.0000 0.0000 x1
Sc 0.0000 0.0000 0.5171 x1
Sc 0.5000 0.5000 0.2748 x1
Tl 0.5000 0.5000 0.7414 x1

Computed properties:
- Density of states at the Fermi level: 4.38 states/eV per cell

***

#two
Entry from the Alexandria database: a PBEsol-optimized structure of YSc2Tl (meta-GGA SCAN).

a = 3.4660 Å, b = 4.4232 Å, c = 6.3860 Å
α = 90.00°, β = 90.00°, γ = 90.00°
Space group Pmm2 (No. 25)
Unique sites:
Y 0.0000 0.0000 0.0000 x1
Sc 0.0000 0.0000 0.4991 x1
Sc 0.5000 0.5000 0.2671 x1
Tl 0.5000 0.5000 0.7427 x1

Computed properties:
- Density of states at the Fermi level: 4.06 states/eV per cell

***

Which one is most stable, and which one is least stable? #two is the most stable of them, while #one is the least stable.

***

#one
Entry from the Alexandria database: a PBEsol-optimized structure of MgCdOs (meta-GGA SCAN).

a = 6.2830 Å, b = 6.2830 Å, c = 6.2830 Å
α = 90.00°, β = 90.00°, γ = 90.00°
Space group F-43m (No. 216)
Unique sites:
Mg 0.0000 0.0000 0.0000 x4
Cd 0.0000 0.0000 0.5000 x4
Os 0.2500 0.2500 0.2500 x4

Computed properties:
- Density of states at the Fermi level: 12.31 states/eV per cell

***

#two
Entry from the Alexandria database: a PBEsol-optimized structure of MgCdOs (meta-GGA SCAN).

a = 4.5914 Å, b = 4.5914 Å, c = 2.7094 Å
α = 90.00°, β = 90.00°, γ = 120.00°
Space group P3m1 (No. 156)
Unique sites:
Mg 0.0000 0.0000 0.0000 x1
Cd 0.6667 0.3333 0.2658 x1
Os 0.3333 0.6667 0.6439 x1

Computed properties:
- Density of states at the Fermi level: 1.18 states/eV per cell

***

Which one is most stable, and which one is least stable? #two is the most stable of them, while #one is the least stable.

***

#one
Entry from the Alexandria database: a PBEsol-optimized structure of Sr3Au2 (meta-GGA SCAN).

a = 9.5442 Å, b = 9.5442 Å, c = 18.1520 Å
α = 90.00°, β = 90.00°, γ = 120.00°
Space group R-3 (No. 148, hexagonal axes)
Unique sites:
Sr 0.0000 0.0000 0.0000 x3
Sr 0.0000 0.0000 0.2017 x6
Sr 0.0121 0.7505 0.5935 x18
Au 0.0240 0.4142 0.5663 x18

Computed properties:
- Density of states at the Fermi level: 26.01 states/eV per cell

***

#two
Entry from the Alexandria database: a PBEsol-optimized structure of Sr3Au2 (meta-GGA SCAN).

a = 4.4311 Å, b = 4.4311 Å, c = 32.0054 Å
α = 90.00°, β = 90.00°, γ = 120.00°
Space group R-3m (No. 166, hexagonal axes)
Unique sites:
Sr 0.0000 0.0000 0.0000 x3
Sr 0.0000 0.0000 0.2234 x6
Au 0.0000 0.0000 0.3911 x6

Computed properties:
- Density of states at the Fermi level: 10.89 states/eV per cell

***

Which one is most stable, and which one is least stable? #one is the most stable of them, while #two is the least stable.

***

#one
Entry from the Alexandria database: a PBEsol-optimized structure of CoPb2W (meta-GGA SCAN).

a = 3.1470 Å, b = 3.1470 Å, c = 25.6063 Å
α = 90.00°, β = 90.00°, γ = 120.00°
Space group R-3m (No. 166, hexagonal axes)
Unique sites:
Co 0.0000 0.0000 0.0000 x3
Pb 0.0000 0.0000 0.2575 x6
W 0.0000 0.0000 0.5000 x3

Computed properties:
- Density of states at the Fermi level: 7.85 states/eV per cell

***

#two
Entry from the Alexandria database: a PBEsol-optimized structure of CoPb2W (meta-GGA SCAN).

a = 3.1473 Å, b = 5.3200 Å, c = 8.8495 Å
α = 90.00°, β = 90.00°, γ = 90.00°
Space group Immm (No. 71)
Unique sites:
Co 0.0000 0.0000 0.0000 x2
Pb 0.0000 0.5000 0.2751 x4
W 0.0000 0.0000 0.5000 x2

Computed properties:
- Density of states at the Fermi level: 5.84 states/eV per cell

***

Which one is most stable, and which one is least stable? #one is the most stable of them, while #two is the least stable.

***

#one
Entry from the Alexandria database: a PBEsol-optimized structure of Al2CoBr (meta-GGA SCAN).

a = 3.0115 Å, b = 3.2872 Å, c = 15.1134 Å
α = 90.00°, β = 90.00°, γ = 90.00°
Space group Imm2 (No. 44)
Unique sites:
Al 0.0000 0.0000 0.0000 x2
Al 0.0000 0.5000 0.1747 x2
Co 0.0000 0.0000 0.5547 x2
Br 0.0000 0.5000 0.7866 x2

Computed properties:
- Density of states at the Fermi level: 2.37 states/eV per cell

***

#two
Entry from the Alexandria database: a PBEsol-optimized structure of Al2CoBr (meta-GGA SCAN).

a = 2.9764 Å, b = 2.9920 Å, c = 7.2734 Å
α = 90.00°, β = 90.00°, γ = 90.00°
Space group Pmmm (No. 47)
Unique sites:
Al 0.0000 0.0000 0.1856 x2
Co 0.5000 0.5000 0.0000 x1
Br 0.0000 0.5000 0.5000 x1

Computed properties:
- Density of states at the Fermi level: 1.23 states/eV per cell

***

Which one is most stable, and which one is least stable? #two is the most stable of them, while #one is the least stable.